# Nd6Tl3Ag (GGA-PBE, optimized geometry)
data_Nd6Tl3Ag
_symmetry_space_group_name_H-M 'P 1 21/m 1'
_symmetry_Int_Tables_number 11
_cell_length_a 9.615
_cell_length_b 5.449
_cell_length_c 12.011
_cell_angle_alpha 90.00
_cell_angle_beta 107.49
_cell_angle_gamma 90.00
loop_
_symmetry_equiv_pos_as_xyz
'x,y,z'
'-x,-y,-z'
'-x,y+1/2,-z'
'x,-y+1/2,z'
loop_
_atom_site_label
_atom_site_fract_x
_atom_site_fract_y
_atom_site_fract_z
Nd1 0.035 0.250 0.409
Nd2 0.167 0.750 0.177
Nd3 0.260 0.250 0.001
Nd4 0.351 0.750 0.814
Nd5 0.367 0.250 0.346
Nd6 0.409 0.250 0.624
Tl1 0.032 0.750 0.884
Tl2 0.126 0.250 0.718
Tl3 0.271 0.750 0.475
Ag1 0.457 0.750 0.101
# ΔE to the lowest computed polymorph in eV per atom: 0.000
# ΔE_f in eV/atom: -0.252
# Magnetic moment in μB per formula unit: 0.00
# DFT total energy in eV per formula unit: -41.08

***

# LaTlIr3 (GGA-PBE, optimized geometry)
data_LaTlIr3
_symmetry_space_group_name_H-M 'P m -3 m'
_symmetry_Int_Tables_number 221
_symmetry_space_group_name_Hall '-P 4 2 3'
_cell_length_a 4.983
_cell_length_b 4.983
_cell_length_c 4.983
_cell_angle_alpha 90.00
_cell_angle_beta 90.00
_cell_angle_gamma 90.00
loop_
_atom_site_label
_atom_site_fract_x
_atom_site_fract_y
_atom_site_fract_z
La1 0.000 0.000 0.000
Tl1 0.500 0.500 0.500
Ir1 0.000 0.500 0.500
# ΔE to the lowest computed polymorph in eV per atom: 0.000
# ΔE_f in eV/atom: 1.132
# Magnetic moment in μB per formula unit: 0.85
# DFT total energy in eV per formula unit: -28.22

***

# In3TcO (GGA-PBE, optimized geometry)
data_In3TcO
_symmetry_space_group_name_H-M 'P m -3 m'
_symmetry_Int_Tables_number 221
_symmetry_space_group_name_Hall '-P 4 2 3'
_cell_length_a 4.558
_cell_length_b 4.558
_cell_length_c 4.558
_cell_angle_alpha 90.00
_cell_angle_beta 90.00
_cell_angle_gamma 90.00
loop_
_atom_site_label
_atom_site_fract_x
_atom_site_fract_y
_atom_site_fract_z
In1 0.000 0.000 0.500
Tc1 0.500 0.500 0.500
O1 0.000 0.000 0.000
# ΔE to the lowest computed polymorph in eV per atom: 0.000
# Magnetic moment in μB per formula unit: 1.85
# ΔE_f (raw) in meV/atom: 190.0
# DFT total energy in eV per formula unit: -22.59

***

# TiMnCr4 (GGA-PBE, optimized geometry)
data_TiMnCr4
_symmetry_space_group_name_H-M 'F -4 3 m'
_symmetry_Int_Tables_number 216
_symmetry_space_group_name_Hall 'F -4 2 3'
_cell_length_a 6.760
_cell_length_b 6.760
_cell_length_c 6.760
_cell_angle_alpha 90.00
_cell_angle_beta 90.00
_cell_angle_gamma 90.00
loop_
_atom_site_label
_atom_site_fract_x
_atom_site_fract_y
_atom_site_fract_z
Ti1 0.000 0.000 0.000
Mn1 0.250 0.250 0.250
Cr1 0.126 0.126 0.626
# ΔE_f in eV/atom: 0.069
# Magnetic moment in μB per formula unit: 2.35
# DFT total energy in eV per formula unit: -55.14

***

# KYWN3 (GGA-PBE, optimized geometry)
data_KYWN3
_symmetry_space_group_name_H-M 'C 1 2/m 1'
_symmetry_Int_Tables_number 12
_cell_length_a 13.491
_cell_length_b 3.954
_cell_length_c 7.762
_cell_angle_alpha 90.00
_cell_angle_beta 104.64
_cell_angle_gamma 90.00
loop_
_symmetry_equiv_pos_as_xyz
'x,y,z'
'-x,-y,-z'
'-x,y,-z'
'x,-y,z'
'x+1/2,y+1/2,z'
'-x+1/2,-y+1/2,-z'
'-x+1/2,y+1/2,-z'
'x+1/2,-y+1/2,z'
loop_
_atom_site_label
_atom_site_fract_x
_atom_site_fract_y
_atom_site_fract_z
K1 0.145 0.000 0.065
Y1 0.163 0.000 0.582
W1 0.006 0.500 0.326
N1 0.011 0.000 0.313
N2 0.139 0.500 0.772
N3 0.161 0.500 0.371
# Magnetic moment in μB per formula unit: 0.26
# ΔE_f (raw) in meV/atom: -619.9
# DFT total energy in eV per formula unit: -49.21

***

# DyTh2UAs4 (GGA-PBE, optimized geometry)
data_DyTh2UAs4
_symmetry_space_group_name_H-M 'P 1 2/m 1'
_symmetry_Int_Tables_number 10
_cell_length_a 7.221
_cell_length_b 4.171
_cell_length_c 7.264
_cell_angle_alpha 90.00
_cell_angle_beta 109.32
_cell_angle_gamma 90.00
loop_
_symmetry_equiv_pos_as_xyz
'x,y,z'
'-x,-y,-z'
'-x,y,-z'
'x,-y,z'
loop_
_atom_site_label
_atom_site_fract_x
_atom_site_fract_y
_atom_site_fract_z
Dy1 0.000 0.000 0.000
Th1 0.500 0.000 0.500
Th2 0.500 0.500 0.000
U1 0.000 0.500 0.500
As1 0.239 0.000 0.746
As2 0.240 0.500 0.248
# ΔE_f in eV/atom: -1.256
# Magnetic moment in μB per formula unit: 2.54
# DFT total energy in eV per formula unit: -59.38